[1]
# PBE-GGA PrCdGa4, relaxed
data_PrCdGa4
_chemical_formula_sum 'Pr4 Cd4 Ga16'
_cell_length_a 7.9892
_cell_length_b 7.9892
_cell_length_c 7.9892
_cell_angle_alpha 90.00
_cell_angle_beta 90.00
_cell_angle_gamma 90.00
_space_group_name_H-M_alt 'F -4 3 m'
_space_group_IT_number 216
_space_group_name_Hall 'F -4 2 3'
loop_
_atom_site_label
_atom_site_type_symbol
_atom_site_fract_x
_atom_site_fract_y
_atom_site_fract_z
Pr1 Pr 0.0000 0.0000 0.0000
Cd1 Cd 0.2500 0.2500 0.7500
Ga1 Ga 0.1253 0.1253 0.3747
# Final energy (eV for the cell shown): -76.55
# ΔE_f (eV per atom): -0.22
# ΔE to the lowest computed polymorph (meV/atom): 3
# D(E_F) (states/eV/cell): 21.497

[2]
# PBE-GGA MnRe, relaxed
data_MnRe
_chemical_formula_sum 'Mn4 Re4'
_cell_length_a 8.7305
_cell_length_b 2.6779
_cell_length_c 4.5413
_cell_angle_alpha 90.00
_cell_angle_beta 100.36
_cell_angle_gamma 90.00
_space_group_name_H-M_alt 'C 1 2/m 1'
_space_group_IT_number 12
loop_
_space_group_symop_operation_xyz
'x,y,z'
'-x,-y,-z'
'-x,y,-z'
'x,-y,z'
'x+1/2,y+1/2,z'
'-x+1/2,-y+1/2,-z'
'-x+1/2,y+1/2,-z'
'x+1/2,-y+1/2,z'
loop_
_atom_site_label
_atom_site_type_symbol
_atom_site_fract_x
_atom_site_fract_y
_atom_site_fract_z
Mn1 Mn 0.1311 0.0000 0.3796
Re1 Re 0.1196 0.5000 0.8547
# Final energy (eV for the cell shown): -85.66
# ΔE_f (eV per atom): 0.10
# D(E_F) (states/eV/cell): 9.274

[3]
# PBE-GGA SrCa2CdCu, relaxed
data_SrCa2CdCu
_chemical_formula_sum 'Sr1 Ca2 Cd1 Cu1'
_cell_length_a 5.5762
_cell_length_b 5.5762
_cell_length_c 5.8154
_cell_angle_alpha 90.00
_cell_angle_beta 90.00
_cell_angle_gamma 90.00
_space_group_name_H-M_alt 'P 4/m m m'
_space_group_IT_number 123
_space_group_name_Hall '-P 4 2'
loop_
_atom_site_label
_atom_site_type_symbol
_atom_site_fract_x
_atom_site_fract_y
_atom_site_fract_z
Sr1 Sr 0.0000 0.0000 0.0000
Ca1 Ca 0.0000 0.5000 0.5000
Cd1 Cd 0.5000 0.5000 0.0000
Cu1 Cu 0.0000 0.0000 0.5000
# Final energy (eV for the cell shown): -10.78
# ΔE_f (eV per atom): -0.02
# ΔE to the lowest computed polymorph (meV/atom): 17
# D(E_F) (states/eV/cell): 2.662

[4]
# PBE-GGA GaNiHPd2, relaxed
data_GaNiHPd2
_chemical_formula_sum 'Ga1 Ni1 H1 Pd2'
_cell_length_a 3.9893
_cell_length_b 3.9893
_cell_length_c 3.6685
_cell_angle_alpha 90.00
_cell_angle_beta 90.00
_cell_angle_gamma 90.00
_space_group_name_H-M_alt 'P 4/m m m'
_space_group_IT_number 123
_space_group_name_Hall '-P 4 2'
loop_
_atom_site_label
_atom_site_type_symbol
_atom_site_fract_x
_atom_site_fract_y
_atom_site_fract_z
Ga1 Ga 0.0000 0.0000 0.0000
Ni1 Ni 0.5000 0.5000 0.0000
H1 H 0.5000 0.5000 0.5000
Pd1 Pd 0.0000 0.5000 0.5000
# Final energy (eV for the cell shown): -24.37
# D(E_F) (states/eV/cell): 1.281

[5]
# PBE-GGA ScCd2Rh, relaxed
data_ScCd2Rh
_chemical_formula_sum 'Sc3 Cd6 Rh3'
_cell_length_a 3.1122
_cell_length_b 3.1122
_cell_length_c 28.3488
_cell_angle_alpha 90.00
_cell_angle_beta 90.00
_cell_angle_gamma 120.00
_space_group_name_H-M_alt 'R -3 m'
_space_group_IT_number 166
_space_group_name_Hall '-R 3 2"'
loop_
_atom_site_label
_atom_site_type_symbol
_atom_site_fract_x
_atom_site_fract_y
_atom_site_fract_z
Sc1 Sc 0.0000 0.0000 0.0000
Cd1 Cd 0.0000 0.0000 0.2427
Rh1 Rh 0.0000 0.0000 0.5000
# Final energy (eV for the cell shown): -46.73
# ΔE_f (eV per atom): -0.02
# D(E_F) (states/eV/cell): 12.714

[6]
# PBE-GGA Cs2Ca2Ag, relaxed
data_Cs2Ca2Ag
_chemical_formula_sum 'Cs4 Ca4 Ag2'
_cell_length_a 8.3069
_cell_length_b 8.3069
_cell_length_c 7.5713
_cell_angle_alpha 90.00
_cell_angle_beta 90.00
_cell_angle_gamma 90.00
_space_group_name_H-M_alt 'P 4/m b m'
_space_group_IT_number 127
_space_group_name_Hall '-P 4 2ab'
loop_
_atom_site_label
_atom_site_type_symbol
_atom_site_fract_x
_atom_site_fract_y
_atom_site_fract_z
Cs1 Cs 0.1846 0.3154 0.0000
Ca1 Ca 0.1713 0.6713 0.5000
Ag1 Ag 0.0000 0.0000 0.5000
# Final energy (eV for the cell shown): -15.56
# ΔE_f (eV per atom): 0.16
# ΔE to the lowest computed polymorph (meV/atom): 0
# D(E_F) (states/eV/cell): 13.099

[7]
# PBE-GGA SrHf2NbZn, relaxed
data_SrHf2NbZn
_chemical_formula_sum 'Sr1 Hf2 Nb1 Zn1'
_cell_length_a 5.1406
_cell_length_b 5.1406
_cell_length_c 4.8810
_cell_angle_alpha 90.00
_cell_angle_beta 90.00
_cell_angle_gamma 90.00
_space_group_name_H-M_alt 'P 4/m m m'
_space_group_IT_number 123
_space_group_name_Hall '-P 4 2'
loop_
_atom_site_label
_atom_site_type_symbol
_atom_site_fract_x
_atom_site_fract_y
_atom_site_fract_z
Sr1 Sr 0.0000 0.0000 0.0000
Hf1 Hf 0.0000 0.5000 0.0000
Nb1 Nb 0.0000 0.0000 0.5000
Zn1 Zn 0.5000 0.5000 0.5000
# Final energy (eV for the cell shown): -21.61
# ΔE_f (eV per atom): 2.26
# D(E_F) (states/eV/cell): 6.205

[8]
# PBE-GGA YSc2Si, relaxed
data_YSc2Si
_chemical_formula_sum 'Y3 Sc6 Si3'
_cell_length_a 3.4554
_cell_length_b 3.4554
_cell_length_c 28.5026
_cell_angle_alpha 90.00
_cell_angle_beta 90.00
_cell_angle_gamma 120.00
_space_group_name_H-M_alt 'R 3 m'
_space_group_IT_number 160
_space_group_name_Hall 'R 3 -2"'
loop_
_atom_site_label
_atom_site_type_symbol
_atom_site_fract_x
_atom_site_fract_y
_atom_site_fract_z
Y1 Y 0.0000 0.0000 0.0000
Sc1 Sc 0.0000 0.0000 0.5288
Sc2 Sc 0.0000 0.0000 0.7675
Si1 Si 0.0000 0.0000 0.2605
# Final energy (eV for the cell shown): -74.92
# E_form (uncorrected) (kJ/mol of atoms): -10
# D(E_F) (states/eV/cell): 18.609

Question: Number 8 is which compound?
Answer: YSc2Si